Material: LaNbCu2Ni
Method: DFT, PBE
State: relaxed

a = 4.916 Å, b = 5.030 Å, c = 4.916 Å
α = 90.00°, β = 90.00°, γ = 90.00°
Last column: magnetic moment on the atom in μB.
Atoms (fractional coordinates):
1 Ni 0.500 0.500 0.500  0.07
2 Nb 0.000 0.500 0.000  -0.62
3 Cu 0.000 0.000 0.500  0.00
4 Cu 0.500 0.000 0.000  -0.01
5 La 0.000 0.000 0.000  -0.08

Properties
* DOS(E_F): 8.91 states/eV per cell
* ρ: 5.705 g/cm3
* ΔH_f (0 K): 1946 meV/atom

---

Material: ScBi3B
Method: DFT, PBE
State: relaxed

a = 5.076 Å, b = 5.076 Å, c = 5.076 Å
α = 90.00°, β = 90.00°, γ = 90.00°
Atoms (fractional coordinates):
1 Sc 0.500 0.500 0.500
2 B 0.000 0.000 0.000
3 Bi 0.000 0.500 0.000
4 Bi 0.000 0.000 0.500
5 Bi 0.500 0.000 0.000

Properties
* DOS(E_F): 5.50 states/eV per cell
* E above lowest polymorph: 0.000 eV per atom
* ρ: 8.670 g/cm3
* ΔH_f (0 K): 594 meV/atom

---

Material: LaGa2Ru2
Method: DFT, PBE
State: relaxed

a = 4.498 Å, b = 4.498 Å, c = 5.704 Å
α = 66.78°, β = 66.78°, γ = 90.00°
Atoms (fractional coordinates):
1 Ru 0.750 0.250 0.500
2 Ru 0.250 0.750 0.500
3 Ga 0.362 0.362 0.276
4 Ga 0.638 0.638 0.724
5 La 0.000 0.000 0.000

Properties
* DOS(E_F): 4.72 states/eV per cell
* ρ: 8.329 g/cm3
* ΔH_f (0 K): -438 meV/atom

---

Material: Eu2GeRh
Method: DFT, PBE
State: relaxed

a = 4.021 Å, b = 4.777 Å, c = 4.777 Å
α = 90.00°, β = 90.00°, γ = 90.00°
Last column: magnetic moment on the atom in μB.
Atoms (fractional coordinates):
1 Eu 0.000 0.000 0.500  6.73
2 Eu 0.000 0.500 0.000  6.73
3 Ge 0.500 0.500 0.500  -0.06
4 Rh 0.500 0.000 0.000  -0.21

Properties
* DOS(E_F): 12.61 states/eV per cell
* ρ: 8.676 g/cm3
* ΔH_f (0 K): -424 meV/atom

---

Material: ReRuBr
Method: DFT, PBE
State: relaxed

a = 4.274 Å, b = 4.274 Å, c = 2.980 Å
α = 90.00°, β = 90.00°, γ = 120.00°
Atoms (fractional coordinates):
1 Re 0.667 0.333 0.226
2 Br 0.000 0.000 0.073
3 Ru 0.333 0.667 0.700

Properties
* ΔE_f (raw): 1.095 eV per atom
* DOS(E_F): 3.45 states/eV per cell
* E above lowest polymorph: 0.459 eV per atom
* ρ: 12.933 g/cm3

---

Material: TbAl4Pt2Au
Method: DFT, PBE
State: relaxed

a = 4.293 Å, b = 4.293 Å, c = 9.353 Å
α = 76.73°, β = 76.73°, γ = 60.00°
Atoms (fractional coordinates):
1 Tb 0.000 0.000 0.000
2 Al 0.402 0.402 0.795
3 Al 0.877 0.877 0.370
4 Al 0.123 0.123 0.630
5 Al 0.598 0.598 0.205
6 Pt 0.747 0.747 0.759
7 Pt 0.253 0.253 0.241
8 Au 0.500 0.500 0.500

Properties
* DOS(E_F): 3.65 states/eV per cell
* ρ: 9.849 g/cm3
* ΔH_f (0 K): -760 meV/atom